# SrSiTe (PBEsol, relaxed)
# - V (Å³ per cell) = 83
# - SG = P-6m2, No. 187
# - E (eV per atom) = -4.1155
# - magnetic moment (Bohr magnetons per cell) = 0.000
data_SrSiTe
_cell_length_a 4.0701
_cell_length_b 4.8659
_cell_length_c 4.8659
_cell_angle_alpha 120.00
_cell_angle_beta 90.00
_cell_angle_gamma 90.00
_symmetry_space_group_name_H-M 'P 1'
_symmetry_Int_Tables_number 1
loop_
_symmetry_equiv_pos_as_xyz
'x,y,z'
loop_
_atom_site_label
_atom_site_fract_x
_atom_site_fract_y
_atom_site_fract_z
Sr1 0.6668 0.3333 0.6667
Si1 0.1666 0.0000 0.0000
Te1 0.1666 0.6667 0.3333